Record 1
MgNbCuGe | GGA-PBE | optimized geometry

abc: 4.552 4.552 4.552
angles: 60.00 60.00 60.00
Atoms (fractional coordinates):
Cu: 0.750 0.750 0.750
Ge: 0.000 0.000 0.000
Mg: 0.250 0.250 0.250
Nb: 0.500 0.500 0.500

Output
energy	-0.334	Ry per atom
excess energy over the best structure of this formula in the dataset	0.196	eV/atom
symmetry	F-43m (216)

***

Record 2
MgNbCuGe | GGA-PBE | optimized geometry

abc: 4.500 4.500 4.500
angles: 60.00 60.00 60.00
Atoms (fractional coordinates):
Cu: 0.750 0.750 0.750
Ge: 0.000 0.000 0.000
Mg: 0.500 0.500 0.500
Nb: 0.250 0.250 0.250

Output
energy	-0.348	Ry per atom
excess energy over the best structure of this formula in the dataset	0.000	eV/atom
symmetry	F-43m (216)

***

Record 3
MgCu4NiGe2 | GGA-PBE | optimized geometry

abc: 4.235 4.235 6.008
angles: 90.00 90.00 90.00
Atoms (fractional coordinates):
Cu: 0.500 0.000 0.265
Cu: 0.000 0.500 0.265
Cu: 0.500 0.000 0.735
Cu: 0.000 0.500 0.735
Ge: 0.000 0.000 0.000
Ge: 0.500 0.500 0.500
Mg: 0.500 0.500 0.000
Ni: 0.000 0.000 0.500

Output
energy	-0.288	Ry per atom
symmetry	P4/mmm (123)

***

Record 4
MgCuGePd | GGA-PBE | optimized geometry

abc: 4.415 4.415 4.415
angles: 60.00 60.00 60.00
Atoms (fractional coordinates):
Cu: 0.750 0.750 0.750
Ge: 0.000 0.000 0.000
Mg: 0.500 0.500 0.500
Pd: 0.250 0.250 0.250

Output
energy	-0.302	Ry per atom
excess energy over the best structure of this formula in the dataset	0.000	eV/atom
symmetry	F-43m (216)